Cr2SbW: optimized geometry, PBE.

Cell: 4.3181 4.3181 3.1790 Å, 90.00 90.00 90.00°
Fractional coordinates of all 4 atoms:
W 0.0000 0.5000 0.5000
Cr 0.0000 0.0000 0.0000
Cr 0.5000 0.5000 0.0000
Sb 0.5000 0.0000 0.5000

Calculated values
- VASP energy: -35.00 eV/cell
- Volume: 14.8 Å³/atom
- Total magnetic moment: 1.167 μB per cell

CrSbW: optimized geometry, PBE.

Cell: 5.1146 5.1146 3.2530 Å, 71.46 71.46 37.09°
Fractional coordinates of all 3 atoms:
Sb 0.6618 0.6618 0.3382
Cr 0.9944 0.9944 0.0056
W 0.3437 0.3437 0.6563

Calculated values
- VASP energy: -25.17 eV/cell
- Volume: 16.1 Å³/atom
- Total magnetic moment: 0.003 μB per cell

CrSbW2: optimized geometry, PBE.

Cell: 4.4785 4.4785 3.2565 Å, 90.00 90.00 90.00°
Fractional coordinates of all 4 atoms:
W 0.5000 0.5000 0.0000
W 0.0000 0.0000 0.0000
Cr 0.5000 0.0000 0.5000
Sb 0.0000 0.5000 0.5000

Calculated values
- VASP energy: -37.07 eV/cell
- Volume: 16.3 Å³/atom
- Total magnetic moment: 0.801 μB per cell

Cr2SbW: optimized geometry, PBE.

Cell: 2.9268 2.9268 7.8357 Å, 90.00 90.00 106.81°
Fractional coordinates of all 4 atoms:
Cr 0.0000 0.0000 0.5137
Cr 0.0000 0.0000 0.9863
Sb 0.5000 0.5000 0.2500
W 0.5000 0.5000 0.7500

Calculated values
- VASP energy: -34.18 eV/cell
- Volume: 16.1 Å³/atom
- Total magnetic moment: 2.970 μB per cell

Cr2SbW: optimized geometry, PBE.

Cell: 3.0161 3.0161 6.6624 Å, 90.00 90.00 90.02°
Fractional coordinates of all 4 atoms:
Cr 0.5000 0.5000 0.2127
Cr 0.0000 0.0000 0.0260
Sb 0.0000 0.0000 0.4761
W 0.5000 0.5000 0.7852

Calculated values
- VASP energy: -34.42 eV/cell
- Volume: 15.2 Å³/atom
- Total magnetic moment: 0.000 μB per cell

CrSbW: optimized geometry, PBE.

Cell: 4.3530 4.3530 4.3530 Å, 60.00 60.00 60.00°
Fractional coordinates of all 3 atoms:
Sb 0.5000 0.5000 0.5000
Cr 0.0000 0.0000 0.0000
W 0.7500 0.7500 0.7500

Calculated values
- VASP energy: -24.36 eV/cell
- Volume: 19.4 Å³/atom
- Total magnetic moment: 0.054 μB per cell

CrSbW2: optimized geometry, PBE.

Cell: 5.2596 5.2596 2.8989 Å, 79.32 79.32 117.15°
Fractional coordinates of all 4 atoms:
Sb 0.0000 0.5000 0.5000
Cr 0.5000 0.0000 0.5000
W 0.0000 0.0000 0.0000
W 0.5000 0.5000 0.0000

Calculated values
- VASP energy: -37.06 eV/cell
- Volume: 16.7 Å³/atom
- Total magnetic moment: 1.932 μB per cell

Cr2SbW: optimized geometry, PBE.

Cell: 2.9739 3.9405 5.3500 Å, 90.00 90.00 90.00°
Fractional coordinates of all 4 atoms:
Cr 0.5000 0.5000 0.2276
Cr 0.0000 0.0000 0.9947
W 0.5000 0.5000 0.7906
Sb 0.0000 0.0000 0.4871

Calculated values
- VASP energy: -34.39 eV/cell
- Volume: 15.7 Å³/atom
- Total magnetic moment: 0.254 μB per cell